# 1
Density functional theory data (PBE) for a geometry-optimized PuTiN structure.

```
PuTiN
1.0
-3.180 -4.819 1.500
1.138 -5.250 -2.593
2.590 -4.406 3.196
Ti Pu N
3 3 3
Direct
0.130 0.130 0.610 Ti
0.304 0.304 0.088 Ti
0.623 0.623 0.132 Ti
0.679 0.679 0.568 Pu
0.074 0.679 0.568 Pu
0.679 0.074 0.568 Pu
0.382 0.897 0.340 N
0.897 0.382 0.340 N
0.382 0.382 0.340 N
```

Output
size of the total moment = 4.07 μB per cell
raw formation energy = -0.32 eV per atom
space group = No. 160
crystal system = trigonal

# 2
Density functional theory data (PBE) for a geometry-optimized PuZr2Ti3N6 structure.

```
PuZr2Ti3N6
1.0
-0.027 0.167 3.162
3.665 -5.204 0.307
4.602 5.069 -1.815
Pu Zr Ti N
1 2 3 6
Direct
0.500 0.000 0.000 Pu
0.832 0.663 0.664 Zr
0.168 0.337 0.336 Zr
0.500 0.500 0.000 Ti
0.831 0.166 0.662 Ti
0.169 0.834 0.338 Ti
0.326 0.924 0.653 N
0.663 0.594 0.325 N
0.674 0.076 0.347 N
0.997 0.270 0.993 N
0.003 0.730 0.007 N
0.337 0.406 0.675 N
```

Output
size of the total moment = 4.49 μB per cell
raw formation energy = -1.58 eV per atom
space group = No. 12
crystal system = monoclinic

# 3
Density functional theory data (PBE) for a geometry-optimized Pu3Zr2TiN6 structure.

```
Pu3Zr2TiN6
1.0
5.741 -0.002 0.001
-2.870 4.971 0.001
-0.957 -1.657 5.469
Pu Zr Ti N
3 2 1 6
Direct
0.166 0.834 0.500 Pu
0.834 0.166 0.500 Pu
0.500 0.500 0.500 Pu
0.333 0.667 0.000 Zr
0.667 0.333 0.000 Zr
0.000 0.000 0.000 Ti
0.923 0.599 0.771 N
0.752 0.752 0.231 N
0.077 0.401 0.229 N
0.599 0.923 0.771 N
0.248 0.248 0.769 N
0.401 0.077 0.229 N
```

Output
size of the total moment = 13.94 μB per cell
raw formation energy = -1.47 eV per atom
space group = No. 12
crystal system = monoclinic

# 4
Density functional theory data (PBE) for a geometry-optimized PuZrTiN3 structure.

```
PuZrTiN3
1.0
-2.340 2.193 0.033
-2.974 -3.091 -5.365
-4.166 -4.521 5.069
Pu Zr Ti N
2 2 2 6
Direct
0.250 0.129 0.168 Pu
0.750 0.871 0.832 Pu
0.250 0.620 0.140 Zr
0.750 0.380 0.860 Zr
0.250 0.149 0.572 Ti
0.750 0.851 0.428 Ti
0.750 0.852 0.154 N
0.250 0.148 0.846 N
0.250 0.856 0.575 N
0.750 0.144 0.425 N
0.750 0.389 0.127 N
0.250 0.611 0.873 N
```

Output
size of the total moment = 9.81 μB per cell
raw formation energy = -1.25 eV per atom
space group = No. 11
crystal system = monoclinic

# 5
Density functional theory data (PBE) for a geometry-optimized Pu2TlN structure.

```
Pu2TlN
1.0
3.117 0.000 0.000
0.000 3.117 0.000
0.000 0.000 8.202
Tl N Pu
1 1 2
Direct
0.500 0.500 0.500 Tl
0.500 0.500 0.000 N
0.000 0.000 0.826 Pu
0.000 0.000 0.174 Pu
```

Output
size of the total moment = 10.84 μB per cell
raw formation energy = -0.32 eV per atom
space group = No. 123
crystal system = tetragonal

# 6
Density functional theory data (PBE) for a geometry-optimized PuTlN structure.

```
PuTlN
1.0
-0.600 1.350 2.785
-3.365 -6.154 0.475
4.902 -2.505 2.270
N Pu Tl
2 2 2
Direct
0.500 0.000 0.500 N
0.500 0.000 0.000 N
0.057 0.115 0.250 Pu
0.943 0.885 0.750 Pu
0.203 0.406 0.750 Tl
0.797 0.594 0.250 Tl
```

Output
size of the total moment = 9.54 μB per cell
energy above the lowest structure with this stoichiometry = 0 meV per atom
raw formation energy = -0.49 eV per atom
space group = No. 63
crystal system = orthorhombic

# 7
Density functional theory data (PBE) for a geometry-optimized Pu2TlN structure.

```
Pu2TlN
1.0
3.394 0.000 0.000
1.697 2.940 0.000
1.697 0.980 8.659
Pu Tl N
2 1 1
Direct
0.054 0.054 0.837 Pu
0.279 0.279 0.164 Pu
0.501 0.501 0.498 Tl
0.666 0.666 0.001 N
```

Output
size of the total moment = 0.10 μB per cell
raw formation energy = -0.59 eV per atom
space group = No. 160
crystal system = trigonal

# 8
Density functional theory data (PBE) for a geometry-optimized PuTlN structure.

```
PuTlN
1.0
-2.629 4.363 -2.237
-0.741 -2.026 -3.081
-2.428 0.010 2.873
Tl N Pu
1 1 1
Direct
0.667 0.667 0.333 Tl
0.167 0.333 0.667 N
0.167 0.000 0.000 Pu
```

Output
size of the total moment = 4.72 μB per cell
energy above the lowest structure with this stoichiometry = 34 meV per atom
raw formation energy = -0.46 eV per atom
space group = No. 187
crystal system = hexagonal

# 9
Density functional theory data (PBE) for a geometry-optimized Pu2TlN structure.

```
Pu2TlN
1.0
3.416 0.000 0.000
1.707 2.958 0.000
-0.003 0.002 8.756
Pu Tl N
2 1 1
Direct
0.071 0.190 0.881 Pu
0.070 0.190 0.220 Pu
0.737 0.857 0.550 Tl
0.404 0.524 0.050 N
```

Output
size of the total moment = 11.65 μB per cell
raw formation energy = -0.42 eV per atom
space group = No. 187
crystal system = hexagonal

# 10
Density functional theory data (PBE) for a geometry-optimized Pu2TlN structure.

```
Pu2TlN
1.0
-0.584 -1.606 -3.639
3.120 -1.440 -2.086
0.064 -6.214 0.512
Tl N Pu
1 1 2
Direct
0.500 0.500 0.500 Tl
0.000 0.000 0.000 N
0.311 0.311 0.067 Pu
0.689 0.689 0.933 Pu
```

Output
size of the total moment = 0.00 μB per cell
raw formation energy = 0.03 eV per atom
space group = No. 166
crystal system = trigonal

# 11
Density functional theory data (PBE) for a geometry-optimized PuTlN structure.

```
PuTlN
1.0
3.248 0.000 0.000
0.000 3.248 0.000
-1.624 -1.624 6.299
Tl N Pu
1 1 1
Direct
0.004 0.004 0.007 Tl
0.261 0.261 0.522 N
0.735 0.735 0.470 Pu
```

Output
size of the total moment = 4.82 μB per cell
energy above the lowest structure with this stoichiometry = 70 meV per atom
raw formation energy = -0.42 eV per atom
space group = No. 107
crystal system = tetragonal

# 12
Density functional theory data (PBE) for a geometry-optimized TmPu5N6 structure.

```
TmPu5N6
1.0
-3.630 1.393 -4.561
-2.024 -3.439 4.472
0.182 5.313 2.809
N Tm Pu
6 1 5
Direct
0.416 0.078 0.246 N
0.922 0.584 0.754 N
0.247 0.247 0.753 N
0.753 0.753 0.247 N
0.078 0.416 0.246 N
0.584 0.922 0.754 N
0.000 0.000 0.000 Tm
0.834 0.166 0.500 Pu
0.666 0.334 0.000 Pu
0.500 0.500 0.500 Pu
0.334 0.666 0.000 Pu
0.166 0.834 0.500 Pu
```

Output
size of the total moment = 13.79 μB per cell
raw formation energy = -1.30 eV per atom
space group = No. 12
crystal system = monoclinic

Q: The lowest raw formation energy belongs to which entry?
A: PuZr2Ti3N6

Q: Which of these has the lowest size of the total moment?
A: number 10